{"formula": "LiPm2Zn3Ga4", "functional": "GGA-PBE", "state": "relaxed", "lattice": [[-0.453, 1.156, 4.064], [2.944, -2.845, 1.137], [7.579, 7.345, -1.244]], "species": ["Li", "Pm", "Pm", "Zn", "Zn", "Zn", "Ga", "Ga", "Ga", "Ga"], "frac_coords": [[0.500, 0.500, 0.500], [0.500, 0.000, 0.247], [0.000, 0.500, 0.753], [0.000, 0.000, 0.500], [0.500, 0.000, 0.862], [0.000, 0.500, 0.138], [0.500, 0.500, 0.000], [0.000, 0.000, 0.000], [0.500, 0.000, 0.631], [0.000, 0.500, 0.369]], "delta_e_f_ev_per_atom": -0.455, "rho_kg_m3": 6680, "energy_ev_per_atom": -3.189}

{"formula": "Li2PmZn2Ga2", "functional": "GGA-PBE", "state": "relaxed", "lattice": [[-3.120, -0.901, -2.875], [2.694, -3.106, 1.322], [-5.700, 0.689, 5.968]], "species": ["Li", "Li", "Pm", "Zn", "Zn", "Ga", "Ga"], "frac_coords": [[0.143, 0.287, 0.425], [0.857, 0.713, 0.575], [0.000, 0.000, 0.000], [0.563, 0.127, 0.693], [0.437, 0.873, 0.307], [0.745, 0.490, 0.234], [0.255, 0.510, 0.766]], "delta_e_f_ev_per_atom": -0.374, "rho_kg_m3": 5589, "energy_ev_per_atom": -2.829}

{"formula": "LiPmZrGa", "functional": "GGA-PBE", "state": "relaxed", "lattice": [[4.972, 0.000, 0.000], [2.486, 4.306, 0.000], [2.486, 1.435, 4.060]], "species": ["Li", "Ga", "Zr", "Pm"], "frac_coords": [[0.750, 0.750, 0.750], [0.250, 0.250, 0.250], [0.500, 0.500, 0.500], [0.000, 0.000, 0.000]], "delta_e_f_ev_per_atom": -0.188, "rho_kg_m3": 5978, "energy_ev_per_atom": -4.748}

{"formula": "Li5Pr2Ga3", "functional": "GGA-PBE", "state": "relaxed", "lattice": [[-2.159, 0.139, 5.389], [0.753, -8.207, 3.642], [6.653, 1.982, 5.744]], "species": ["Li", "Li", "Li", "Li", "Li", "Li", "Li", "Li", "Li", "Li", "Pr", "Pr", "Pr", "Pr", "Ga", "Ga", "Ga", "Ga", "Ga", "Ga"], "frac_coords": [[0.360, 0.257, 0.024], [0.860, 0.024, 0.257], [0.640, 0.743, 0.976], [0.140, 0.976, 0.743], [0.525, 0.725, 0.725], [0.475, 0.275, 0.275], [0.750, 0.500, 0.500], [0.250, 0.500, 0.500], [0.975, 0.275, 0.275], [0.025, 0.725, 0.725], [0.108, 0.662, 0.122], [0.608, 0.122, 0.662], [0.892, 0.338, 0.878], [0.392, 0.878, 0.338], [0.362, 0.475, 0.801], [0.862, 0.801, 0.475], [0.638, 0.525, 0.199], [0.138, 0.199, 0.525], [0.250, 0.000, 0.000], [0.750, 0.000, 0.000]], "delta_e_f_ev_per_atom": -0.253, "rho_kg_m3": 4133, "energy_ev_per_atom": -3.074}

{"formula": "Li2PrGa6", "functional": "GGA-PBE", "state": "relaxed", "lattice": [[-1.942, -0.169, 2.858], [-5.301, -4.146, -3.848], [5.779, -3.590, 3.716]], "species": ["Li", "Li", "Pr", "Ga", "Ga", "Ga", "Ga", "Ga", "Ga"], "frac_coords": [[0.000, 0.333, 0.667], [0.000, 0.667, 0.333], [0.000, 0.000, 0.000], [0.500, 0.340, 0.340], [0.500, 0.660, 0.660], [0.500, 0.000, 0.660], [0.500, 0.660, 0.000], [0.500, 0.340, 0.000], [0.500, 0.000, 0.340]], "relative_energy_mev_per_atom": 18, "delta_e_f_ev_per_atom": -0.307, "rho_kg_m3": 5286, "energy_ev_per_atom": -3.281}

{"formula": "Li3PrGa", "functional": "GGA-PBE", "state": "relaxed", "lattice": [[5.083, 0.000, -0.004], [0.000, 6.182, 0.000], [0.004, 0.000, 6.841]], "species": ["Li", "Li", "Li", "Li", "Li", "Li", "Pr", "Pr", "Ga", "Ga"], "frac_coords": [[0.750, 0.953, 0.742], [0.250, 0.047, 0.258], [0.750, 0.547, 0.742], [0.250, 0.453, 0.258], [0.250, 0.750, 0.565], [0.750, 0.250, 0.435], [0.750, 0.750, 0.188], [0.250, 0.250, 0.812], [0.250, 0.750, 0.941], [0.750, 0.250, 0.059]], "delta_e_f_ev_per_atom": -0.182, "rho_kg_m3": 3576, "energy_ev_per_atom": -2.892}

Question: Which formula does entry 1 have?
Answer: LiPm2Zn3Ga4